Here is a crystal of Ce2SeS relaxed with PBEsol from the Alexandria database. Energies are from meta-GGA SCAN.

Values from the calculation:
formation energy (no corrections)	-2.081	eV per atom
total magnetic moment	0.051	μB/cell
SG	P4/mmm

```
data_Ce2SeS
_chemical_formula_sum 'Ce2 Se1 S1'
_cell_length_a 4.044
_cell_length_b 4.044
_cell_length_c 5.719
_cell_angle_alpha 90.00
_cell_angle_beta 90.00
_cell_angle_gamma 90.00
_symmetry_space_group_name_H-M 'P 1'
_symmetry_Int_Tables_number 1
loop_
_symmetry_equiv_pos_as_xyz
'x,y,z'
loop_
_atom_site_label
_atom_site_type_symbol
_atom_site_fract_x
_atom_site_fract_y
_atom_site_fract_z
_atom_site_occupancy
S1 S 0.000 0.000 0.500 1
Ce1 Ce 0.500 0.500 0.500 1
Ce2 Ce 0.000 0.000 0.000 1
Se1 Se 0.500 0.500 0.000 1
```